No. 1
Material: CuNi2Rh
Method: DFT, PBE-GGA
State: relaxed

a b c (Å): 3.6491 3.6491 3.6223
angles (deg): 90.00 90.00 90.00
Last column: nearest neighbours and their distance in Å.
Positions (direct):
Cu (0.0000, 0.0000, 0.0000)  8 Ni 2.57, 4 Rh 2.58
Ni (0.0000, 0.5000, 0.5000)  4 Cu 2.57, 4 Rh 2.57, 4 Ni 2.58
Ni (0.5000, 0.0000, 0.5000)  4 Cu 2.57, 4 Rh 2.57, 4 Ni 2.58
Rh (0.5000, 0.5000, 0.0000)  8 Ni 2.57, 4 Cu 2.58

Computed properties:
- Energy of formation from the pure elements: 76 meV per atom



No. 2
Material: NdYCuTc
Method: DFT, PBE-GGA
State: relaxed

a b c (Å): 4.9593 4.9593 4.9593
angles (deg): 60.00 60.00 60.00
Last column: nearest neighbours and their distance in Å.
Positions (direct):
Nd (0.0000, 0.0000, 0.0000)  4 Cu 3.04, 4 Tc 3.04
Y (0.5000, 0.5000, 0.5000)  4 Cu 3.04, 4 Tc 3.04
Cu (0.7500, 0.7500, 0.7500)  4 Nd 3.04, 4 Y 3.04
Tc (0.2500, 0.2500, 0.2500)  4 Y 3.04, 4 Nd 3.04

Computed properties:
- Energy of formation from the pure elements: 5 meV per atom



No. 3
Material: La3InRu
Method: DFT, PBE-GGA
State: relaxed

a b c (Å): 8.3136 8.3136 6.8860
angles (deg): 90.21 90.21 40.29
Last column: nearest neighbours and their distance in Å.
Positions (direct):
La (0.0213, 0.0213, 0.2522)  2 Ru 2.82-3.10
La (0.1968, 0.1968, 0.6082)  1 Ru 2.60
La (0.3513, 0.3513, 0.0360)  3 Ru 2.86-3.14
La (0.6487, 0.6487, 0.9640)  3 Ru 2.86-3.14
La (0.8032, 0.8032, 0.3918)  1 Ru 2.60
La (0.9787, 0.9787, 0.7478)  2 Ru 2.82-3.10
In (0.4083, 0.4083, 0.5253)  1 In 2.88
In (0.5917, 0.5917, 0.4747)  1 In 2.88
Ru (0.1519, 0.1519, 0.9706)  4 La 2.60-2.86
Ru (0.8481, 0.8481, 0.0294)  4 La 2.60-2.86

Computed properties:
- Energy of formation from the pure elements: -311 meV per atom
- Energy above the lowest structure with this stoichiometry: 0.53 eV per formula unit



No. 4
Material: Cd5Pt
Method: DFT, PBE-GGA
State: relaxed

a b c (Å): 7.3945 7.3945 7.3945
angles (deg): 124.55 124.55 82.28
Last column: nearest neighbours and their distance in Å.
Positions (direct):
Cd (0.0000, 0.0000, 0.0000)  2 Pt 2.78, 8 Cd 3.02
Cd (0.0177, 0.5177, 0.8129)  2 Pt 2.88, 5 Cd 3.02-3.09
Cd (0.2048, 0.0177, 0.5000)  2 Pt 2.88, 5 Cd 3.02-3.09
Cd (0.2952, 0.7952, 0.8129)  2 Pt 2.88, 5 Cd 3.02-3.09
Cd (0.4823, 0.2952, 0.5000)  2 Pt 2.88, 5 Cd 3.02-3.09
Cd (0.5000, 0.5000, 0.0000)  2 Pt 2.78, 8 Cd 3.02
Cd (0.5177, 0.7048, 0.5000)  2 Pt 2.88, 5 Cd 3.02-3.09
Cd (0.7048, 0.2048, 0.1871)  2 Pt 2.88, 5 Cd 3.02-3.09
Cd (0.7952, 0.9823, 0.5000)  2 Pt 2.88, 5 Cd 3.02-3.09
Cd (0.9823, 0.4823, 0.1871)  2 Pt 2.88, 5 Cd 3.02-3.09
Pt (0.2500, 0.2500, 0.0000)  10 Cd 2.78-2.88
Pt (0.7500, 0.7500, 0.0000)  10 Cd 2.78-2.88

Computed properties:
- Energy of formation from the pure elements: -165 meV per atom



No. 5
Material: ReSbIr
Method: DFT, PBE-GGA
State: relaxed

a b c (Å): 6.3509 6.3509 6.3509
angles (deg): 152.90 152.90 38.70
Last column: nearest neighbours and their distance in Å.
Positions (direct):
Re (0.0000, 0.0000, 0.0000)  4 Ir 2.63
Sb (0.6777, 0.6777, 0.0000)  4 Sb 2.98, 4 Re 2.99, 4 Ir 3.10
Ir (0.3677, 0.3677, 0.0000)  4 Re 2.63

Computed properties:
- Energy relative to the elements, uncorrected: 0.410 eV/atom
- Energy above the lowest structure with this stoichiometry: 0.00 eV per formula unit



No. 6
Material: CdIn2Ni
Method: DFT, PBE-GGA
State: relaxed

a b c (Å): 4.8897 4.8897 4.8897
angles (deg): 60.00 60.00 60.00
Last column: nearest neighbours and their distance in Å.
Positions (direct):
Cd (0.0000, 0.0000, 0.0000)  4 In 2.99, 4 Ni 2.99
In (0.2500, 0.2500, 0.2500)  4 In 2.99, 4 Cd 2.99
In (0.5000, 0.5000, 0.5000)  4 Ni 2.99, 4 In 2.99
Ni (0.7500, 0.7500, 0.7500)  4 Cd 2.99, 4 In 2.99

Computed properties:
- Energy of formation from the pure elements: 266 meV per atom



Number 1: DOS(E_F) 1.64 states/eV/atom. Number 2: DOS(E_F) 1.03 states/eV/atom. Number 3: DOS(E_F) 0.90 states/eV/atom. Number 4: DOS(E_F) 0.30 states/eV/atom. Number 5: DOS(E_F) 0.91 states/eV/atom. Number 6: DOS(E_F) 0.81 states/eV/atom.